No. 1
A geometry-optimized LiRe3O structure. Source: Alexandria, functional GGA-PBEsol.

SG   No. 221
Energy relative to the elements, uncorrected   2.90 eV/f.u.
Uncorrected energy   -8.863 eV per atom

a b c (Å): 4.0214 4.0214 4.0214
angles (deg): 90.00 90.00 90.00
Fractional coordinates of all 5 atoms:
Li 0.5000 0.5000 0.5000
O 0.0000 0.0000 0.0000
Re 0.0000 0.5000 0.0000
Re 0.5000 0.0000 0.0000
Re 0.0000 0.0000 0.5000

No. 2
A geometry-optimized Li2RhO3 structure. Source: Alexandria, functional GGA-PBEsol.

SG   No. 12
Energy relative to the elements, uncorrected   -8.79 eV/f.u.
Uncorrected energy   -6.102 eV per atom

a b c (Å): 5.0556 5.0460 5.0658
angles (deg): 80.38 70.51 59.94
Site moments in Bohr magnetons follow the coordinates.
Fractional coordinates of all 12 atoms:
Li 0.5000 0.0000 0.0000  0.00
Li 0.1600 0.6801 0.0000  0.00
Rh 0.3333 0.3333 0.5000  0.66
O 0.7331 0.0000 0.2624  0.09
O 0.4260 0.6523 0.2650  0.11
O 0.2669 0.0000 0.7376  0.09
O 0.9216 0.6523 0.7350  0.11
O 0.0784 0.3477 0.2650  0.11
Li 0.8400 0.3199 0.0000  0.00
O 0.5740 0.3477 0.7350  0.11
Rh 0.6667 0.6667 0.5000  0.66
Li 0.0000 0.0000 0.5000  0.01